Entry from the Alexandria database: a geometry-optimized LiZnCr2 structure (GGA-PBEsol).

ΔH_f (0 K) in kJ/mol of formula units: 145
Magnetic moment in Bohr magnetons per cell: 0.22
DOS(E_F) in states/eV per cell: 2.791

a b c (Å): 4.179 4.179 4.179
angles (deg): 60.00 60.00 60.00
Each line ends with the local moment (μB).
Atoms (fractional coordinates):
Cr 0.000 0.000 0.000  2.58
Cr 0.250 0.250 0.250  -2.71
Li 0.500 0.500 0.500  -0.01
Zn 0.750 0.750 0.750  0.03